Computed, not measured: a relaxed structure of InGaIBr at the PBE-GGA level of DFT.

The structure in POSCAR format:
```
InGaIBr
1.0
-2.495 0.602 -3.785
-1.222 -3.165 3.062
-2.485 6.167 5.384
In Ga Br I
1 1 1 1
direct
0.957 0.376 0.349
0.311 0.553 0.880
0.127 0.961 0.103
0.484 0.140 0.638
```

Output
energy relative to the elements, uncorrected = -0.47 eV per atom
mass density = 4.4 g/cm³
DFT total energy = -2.722 eV per atom
magnetization = 0.00 μB/f.u.